VASP calculation (PBE) on an optimized crystal structure of BeV2Br.

Cell: 4.2240 4.2240 4.2240 Å, 60.00 60.00 60.00°
Fractional positions:
Be 0.0000 0.0000 0.0000
Br 0.5000 0.5000 0.5000
V 0.2500 0.2500 0.2500
V 0.7500 0.7500 0.7500

Values from the calculation:
Energy relative to the elements, uncorrected, eV/atom: 0.700
N(E_F), states/eV/cell: 5.712

***

VASP calculation (PBE) on an optimized crystal structure of BeV2Br.

Cell: 3.6230 3.6230 9.2045 Å, 78.65 78.65 90.00°
Fractional positions:
Be 0.5000 0.5000 0.0000
Be 0.2500 0.7500 0.5000
Br 0.0000 0.0000 0.0000
Br 0.7500 0.2500 0.5000
V 0.6069 0.1250 0.2500
V 0.1431 0.6250 0.2500
V 0.3750 0.3931 0.7500
V 0.8750 0.8569 0.7500

Values from the calculation:
Energy relative to the elements, uncorrected, eV/atom: 0.688
N(E_F), states/eV/cell: 6.194

***

VASP calculation (PBE) on an optimized crystal structure of BeWBr2.

Cell: 3.1041 3.1041 8.6670 Å, 90.00 90.00 90.00°
Fractional positions:
Be 0.5000 0.5000 0.7500
Br 0.0000 0.0000 0.0607
Br 0.0000 0.0000 0.4393
W 0.5000 0.5000 0.2500

Values from the calculation:
Energy relative to the elements, uncorrected, eV/atom: 1.223
N(E_F), states/eV/cell: 3.765

***

Excess energy over the best structure of this formula in the dataset for every record listed, in sequence, given in meV per atom: 12; 0; 1076.